No. 1
Material: HfGa4Ni2
Method: DFT, PBE
State: optimized geometry

```
HfGa4Ni2
1.0
4.0355 0.0000 0.0000
0.0000 6.3224 0.0000
0.0000 0.0000 16.4604
Ga Ni Hf
16 8 4
Direct
0.2500 0.2725 0.6930
0.2500 0.3553 0.0334
0.2500 0.1447 0.5334
0.7500 0.1854 0.8169
0.7500 0.7275 0.3070
0.7500 0.5096 0.5710
0.7500 0.9904 0.0710
0.2500 0.0096 0.9290
0.2500 0.4904 0.4290
0.2500 0.8146 0.1830
0.7500 0.7725 0.8070
0.2500 0.6854 0.6831
0.7500 0.6447 0.9666
0.7500 0.3146 0.3170
0.2500 0.2275 0.1930
0.7500 0.8553 0.4666
0.2500 0.9715 0.7822
0.7500 0.4715 0.7178
0.2500 0.7538 0.5372
0.7500 0.0285 0.2178
0.7500 0.2537 0.9628
0.2500 0.5285 0.2822
0.2500 0.7462 0.0372
0.7500 0.2462 0.4628
0.7500 0.9931 0.6411
0.2500 0.4931 0.8589
0.7500 0.5069 0.1411
0.2500 0.0069 0.3589
```

D(E_F) = 12.931 states/eV/cell
energy relative to the elements = -0.4264 eV/atom

No. 2
Material: Pr2Ga3Ni
Method: DFT, PBE
State: optimized geometry

```
Pr2Ga3Ni
1.0
4.1487 0.0000 1.7375
1.9392 5.2500 1.1915
-0.0020 -0.3191 5.8265
Ni Ga Pr
1 3 2
Direct
0.1672 0.3951 0.2704
0.8232 0.2359 0.1176
0.1633 0.7633 0.9101
0.8541 0.6018 0.6899
0.4495 0.7986 0.3025
0.5427 0.2053 0.7093
```

D(E_F) = 4.411 states/eV/cell
energy relative to the elements = -0.5848 eV/atom

No. 3
Material: Er6Cd2Tc
Method: DFT, PBE
State: optimized geometry

```
Er6Cd2Tc
1.0
5.0865 0.0000 -0.1988
0.0000 7.0999 0.0000
-2.2576 -3.5500 7.4428
Er Cd Tc
6 2 1
Direct
0.1549 0.9131 0.3100
0.1549 0.3969 0.3100
0.5000 0.2273 0.0000
0.5000 0.7727 0.0000
0.8451 0.0869 0.6900
0.8451 0.6031 0.6900
0.3340 0.3338 0.6677
0.6660 0.6662 0.3323
0.0000 0.0000 0.0000
```

D(E_F) = 12.301 states/eV/cell
energy relative to the elements = 0.0567 eV/atom

No. 4
Material: YSiP2
Method: DFT, PBE
State: optimized geometry

```
YSiP2
1.0
-3.4101 0.7776 -0.4925
-0.7984 -1.2616 3.5358
0.9154 5.3677 2.1373
Si Y P
1 1 2
Direct
0.5000 0.2500 0.2500
0.5000 0.7500 0.7500
0.0000 0.2507 0.5315
0.0000 0.2493 0.9685
```

D(E_F) = 1.342 states/eV/cell
uncorrected formation energy = -10.650 kcal/mol of atoms